No. 1
Below is a relaxed structure of In2NiO, with properties calculated at the PBE with a Hubbard U level.

Cell and atoms, written as extended XYZ:
```
8
Lattice="-4.405 -3.325 -2.853 3.907 -1.150 -4.692 0.895 -5.193 -2.095" Properties=species:S:1:pos:R:3 pbc="T T T"
Ni 0.000 0.000 0.000
Ni -1.880 -5.378 -4.361
O -0.249 -2.238 -3.773
O 2.277 -4.291 -5.280
In -1.882 -3.400 -2.791
In 1.956 -2.553 -3.916
In 0.626 -5.615 -4.570
In 0.095 -7.769 -8.005
```

Properties
- E_tot (eV/atom) = -3.37
- space-group type = No. 122

***

No. 2
Below is a relaxed structure of In3Ni5O12, with properties calculated at the PBE with a Hubbard U level.

Cell and atoms, written as extended XYZ:
```
80
Lattice="10.549 0.000 0.000 -3.516 9.945 0.000 -3.516 -4.973 8.613" Properties=species:S:1:pos:R:3 pbc="T T T"
In 6.153 3.108 1.077
In 6.153 6.838 1.077
In -0.879 4.351 5.383
In 0.879 -0.622 3.230
In 7.912 0.000 2.153
In 0.879 4.973 2.153
In 2.637 0.000 6.460
In -4.395 4.973 6.460
In 2.637 5.594 5.383
In 4.395 0.622 3.230
In -2.637 -1.865 7.536
In -2.637 1.865 7.536
Ni -0.879 2.486 2.153
Ni -1.758 4.973 0.000
Ni 0.000 0.000 0.000
Ni 2.637 1.865 1.077
Ni 3.516 -2.486 4.307
Ni 3.516 4.973 0.000
Ni -2.637 5.594 3.230
Ni 4.395 -3.108 7.536
Ni 4.395 4.351 3.230
Ni 0.879 -2.486 6.460
Ni 2.637 7.459 2.153
Ni 1.758 2.486 4.307
Ni 5.274 0.000 0.000
Ni -1.758 -2.486 4.307
Ni -0.879 0.622 5.383
Ni -0.879 8.081 1.077
Ni -3.516 2.486 4.307
Ni 6.153 -0.622 5.383
Ni 0.879 3.108 7.536
Ni 4.395 2.486 6.460
O 6.918 1.111 0.279
O 0.115 3.283 3.484
O 7.876 2.255 2.505
O 4.430 1.445 1.101
O 1.259 3.688 5.830
O 7.492 5.043 1.523
O -0.844 5.783 3.606
O -2.672 8.501 1.101
O 0.500 6.258 5.830
O 4.815 4.902 1.523
O 5.389 2.800 3.205
O 5.389 8.835 0.279
O -3.017 4.406 4.585
O 2.217 3.618 0.700
O -3.631 7.145 3.205
O 1.873 -1.690 5.129
O -0.500 0.719 1.802
O 2.217 6.256 0.823
O 4.430 7.691 2.505
O -0.459 3.689 0.823
O -2.258 5.691 6.811
O 2.602 4.163 3.606
O 4.775 5.539 4.585
O 3.975 -1.354 7.913
O 0.914 0.810 5.007
O -1.259 -0.567 4.028
O -0.459 6.327 0.700
O -0.914 -2.718 6.108
O 5.774 -0.718 1.802
O 3.975 1.284 7.790
O 1.299 -1.284 7.790
O 1.643 6.662 3.484
O 4.016 4.254 6.811
O 7.147 -2.172 5.408
O 6.533 0.567 4.028
O -1.873 -3.862 8.334
O 1.299 1.354 7.913
O 3.017 -1.285 2.783
O -1.299 0.071 7.090
O -1.873 2.172 5.408
O 6.189 -3.528 7.512
O 4.360 -0.810 5.007
O -0.914 3.528 7.512
O -3.975 -0.071 7.090
O 2.258 1.285 2.783
O -4.360 2.718 6.108
O 3.401 1.690 5.129
O -3.401 3.862 8.334
```

Properties
- E_tot (eV/atom) = -4.91
- space-group type = No. 230

***

No. 3
Below is a relaxed structure of In2NiO4, with properties calculated at the PBE with a Hubbard U level.

Cell and atoms, written as extended XYZ:
```
14
Lattice="5.747 0.117 -2.763 -1.654 5.391 -2.979 -0.348 -0.382 6.356" Properties=species:S:1:pos:R:3 pbc="T T T"
In 2.710 1.808 1.923
In 2.057 4.695 -2.745
In 2.884 1.999 -1.255
In -0.163 1.750 3.305
Ni 0.008 3.863 0.272
Ni 0.014 0.018 -0.019
O 4.698 0.730 -1.143
O 1.071 3.269 -1.367
O 3.748 3.107 0.460
O 4.487 0.514 1.898
O 1.964 0.638 0.218
O 1.672 0.510 3.386
O 0.933 3.102 1.949
O 3.804 3.360 -2.728
```

Properties
- E_tot (eV/atom) = -5.32
- space-group type = No. 74

***

No. 4
Below is a relaxed structure of In2NiOsO8, with properties calculated at the PBE with a Hubbard U level.

Cell and atoms, written as extended XYZ:
```
12
Lattice="-3.281 -3.535 0.520 2.964 -1.817 3.370 -3.016 3.466 4.523" Properties=species:S:1:pos:R:3 pbc="T T T"
In -2.395 -0.105 5.300
In -0.939 -1.780 3.114
Ni -1.508 1.733 2.261
Os 0.000 0.000 0.000
O 1.209 -1.386 3.814
O -3.237 -0.331 7.286
O -2.803 -2.499 1.989
O -4.543 -0.499 4.599
O -0.097 -1.554 1.127
O -0.531 0.614 6.424
O -1.730 -2.070 5.029
O -1.604 0.185 3.384
```

Properties
- E_tot (eV/atom) = -6.00
- space-group type = No. 10

***

No. 5
Below is a relaxed structure of InNi2PO6, with properties calculated at the PBE with a Hubbard U level.

Cell and atoms, written as extended XYZ:
```
10
Lattice="-2.006 0.050 -4.490 -4.389 -1.543 1.944 -1.389 4.800 0.674" Properties=species:S:1:pos:R:3 pbc="T T T"
In -3.959 1.655 -1.086
Ni -4.079 -0.725 -3.244
Ni -2.579 2.447 -3.879
P -1.255 0.031 -2.808
O -2.797 0.776 -2.731
O -3.555 3.397 -2.363
O -3.151 1.635 0.721
O -0.636 0.016 -1.422
O -5.952 2.555 -1.301
O -5.194 -0.067 -1.669
```

Properties
- E_tot (eV/atom) = -5.46
- space-group type = No. 99

***

No. 6
Below is a relaxed structure of InNiPO2, with properties calculated at the PBE with a Hubbard U level.

Cell and atoms, written as extended XYZ:
```
5
Lattice="-0.423 3.547 -1.329 -3.292 0.316 1.893 2.331 1.692 3.772" Properties=species:S:1:pos:R:3 pbc="T T T"
Ni 0.000 0.000 0.000
O -1.646 0.158 0.946
O -0.212 1.773 -0.664
P 1.166 0.846 1.886
In -0.692 2.777 2.168
```

Properties
- excess energy over the best structure of this formula in the dataset (meV/atom) = 0.0
- space-group type = No. 123

***

No. 7
Below is a relaxed structure of InNiPO2, with properties calculated at the PBE with a Hubbard U level.

Cell and atoms, written as extended XYZ:
```
5
Lattice="3.995 0.000 0.000 0.000 5.643 0.000 0.000 0.000 3.995" Properties=species:S:1:pos:R:3 pbc="T T T"
Ni 1.998 2.821 1.998
O 0.000 0.000 1.998
O 1.998 0.000 0.000
P 0.000 2.821 0.000
In 0.000 0.000 0.000
```

Properties
- excess energy over the best structure of this formula in the dataset (meV/atom) = 370.5
- space-group type = No. 123

***

No. 8
Below is a relaxed structure of PaInNiO6, with properties calculated at the PBE with a Hubbard U level.

Cell and atoms, written as extended XYZ:
```
9
Lattice="-4.736 0.198 0.258 -0.356 -3.235 -4.048 0.183 -1.896 4.831" Properties=species:S:1:pos:R:3 pbc="T T T"
Pa 0.004 -2.342 1.872
In -2.368 0.099 0.129
Ni -2.544 -2.689 -0.959
O -3.584 -3.176 0.566
O -3.592 -1.108 -1.174
O -3.748 -3.646 -2.090
O -1.340 -1.795 0.222
O -1.500 -2.129 -2.455
O -1.501 -4.282 -0.823
```

Properties
- E_tot (eV/atom) = -6.82
- space-group type = No. 149

***

No. 9
Below is a relaxed structure of PaIn2NiO8, with properties calculated at the PBE with a Hubbard U level.

Cell and atoms, written as extended XYZ:
```
12
Lattice="4.920 -0.004 -0.003 0.025 4.913 -0.006 0.004 0.007 6.525" Properties=species:S:1:pos:R:3 pbc="T T T"
Pa 0.002 0.004 3.263
In 2.475 2.460 4.955
In 2.473 2.456 1.562
Ni 0.000 0.000 0.000
O 0.910 4.002 1.469
O 3.519 3.527 -0.006
O 4.036 0.910 1.470
O 4.038 0.914 5.048
O 1.429 1.389 6.523
O 0.912 4.006 5.046
O 3.416 3.417 3.257
O 1.532 1.500 3.260
```

Properties
- E_tot (eV/atom) = -6.38
- space-group type = No. 10

***

No. 10
Below is a relaxed structure of InNi2PbO6, with properties calculated at the PBE with a Hubbard U level.

Cell and atoms, written as extended XYZ:
```
10
Lattice="5.363 0.004 -0.001 2.681 4.645 -0.005 2.675 1.550 4.696" Properties=species:S:1:pos:R:3 pbc="T T T"
In 8.040 4.649 2.767
Ni 5.360 3.100 2.131
Ni 2.675 1.551 4.462
Pb 2.680 1.550 0.410
O 4.723 1.458 1.122
O 4.258 4.473 1.118
O 7.104 3.369 1.121
O 6.014 4.559 3.460
O 6.295 1.802 3.465
O 3.765 2.938 3.465
```

Properties
- E_tot (eV/atom) = -5.16
- space-group type = No. 1

***

No. 11
Below is a relaxed structure of In2NiPbO6, with properties calculated at the PBE with a Hubbard U level.

Cell and atoms, written as extended XYZ:
```
10
Lattice="-4.163 -1.432 3.335 -3.233 -4.285 -1.301 0.520 -4.898 3.118" Properties=species:S:1:pos:R:3 pbc="T T T"
In -3.628 -5.117 2.421
In 0.280 -4.658 2.922
Ni -5.729 -7.388 3.397
Pb -2.251 -2.121 0.854
O -3.116 -3.031 2.623
O -3.667 -5.480 0.294
O -5.689 -5.250 3.048
O -3.702 -7.346 2.847
O -2.922 -5.156 4.578
O -1.445 -5.671 2.139
```

Properties
- E_tot (eV/atom) = -5.38
- space-group type = No. 146

***

No. 12
Below is a relaxed structure of InNiPdO4, with properties calculated at the PBE with a Hubbard U level.

Cell and atoms, written as extended XYZ:
```
14
Lattice="6.588 0.000 0.000 -3.294 5.230 -0.538 0.000 -3.302 5.430" Properties=species:S:1:pos:R:3 pbc="T T T"
In 3.294 -1.651 2.715
In 3.294 0.000 0.000
Ni 3.294 3.635 0.351
Ni 0.000 -1.707 4.540
Pd 1.647 0.964 2.446
Pd -1.647 0.964 2.446
O 3.294 0.297 3.736
O 1.798 -0.804 1.370
O 4.790 -0.804 1.370
O 3.294 1.803 1.260
O 0.000 0.125 3.631
O 1.496 2.733 3.521
O -1.496 2.733 3.521
O 0.000 1.631 1.155
```

Properties
- E_tot (eV/atom) = -5.19
- space-group type = No. 74

***

No. 13
Below is a relaxed structure of Pm2InNiO6, with properties calculated at the PBE with a Hubbard U level.

Cell and atoms, written as extended XYZ:
```
20
Lattice="5.477 0.000 0.133 0.000 5.675 0.000 0.243 0.000 8.246" Properties=species:S:1:pos:R:3 pbc="T T T"
Pm 0.186 5.332 2.118
Pm 3.046 3.181 6.308
Pm 5.534 0.343 6.262
Pm 2.674 2.495 2.072
In 2.860 0.000 4.190
In 0.000 2.838 0.000
Ni 2.738 0.000 0.067
Ni 0.122 2.838 4.123
O 1.732 4.066 0.532
O 4.592 4.447 4.722
O 3.987 1.610 7.847
O 1.128 1.228 3.658
O 1.634 3.929 3.619
O 4.494 4.584 7.809
O 4.086 1.746 4.760
O 1.226 1.091 0.571
O 4.911 3.060 2.183
O 2.295 5.453 6.240
O 0.808 2.615 6.196
O 3.425 0.223 2.140
```

Properties
- E_tot (eV/atom) = -6.72
- space-group type = No. 14

***

No. 14
Below is a relaxed structure of Pr2InNiO6, with properties calculated at the PBE with a Hubbard U level.

Cell and atoms, written as extended XYZ:
```
20
Lattice="-3.333 -1.618 -4.172 4.494 -2.561 -2.597 -1.735 -6.955 3.858" Properties=species:S:1:pos:R:3 pbc="T T T"
Pr 3.743 -4.189 -1.545
Pr -0.518 -7.491 -0.705
Pr -4.316 -6.945 -1.366
Pr -0.055 -3.643 -2.207
In -2.534 -4.287 -0.157
In 2.247 -1.281 -1.298
Ni -1.666 -0.809 -2.086
Ni 1.380 -4.758 0.630
O 2.069 -2.724 -2.930
O -0.131 -7.201 -3.279
O -2.642 -8.410 0.018
O -0.442 -3.934 0.368
O 1.390 -5.326 -1.277
O -0.628 -9.906 -1.732
O -1.963 -5.808 -1.634
O 0.055 -1.228 -1.179
O -1.013 -4.602 -4.138
O 1.704 -8.363 -1.232
O 0.441 -6.532 1.227
O -2.277 -2.771 -1.680
```

Properties
- E_tot (eV/atom) = -6.65
- space-group type = No. 14

***

No. 15
Below is a relaxed structure of PuInNi2O6, with properties calculated at the PBE with a Hubbard U level.

Cell and atoms, written as extended XYZ:
```
10
Lattice="4.095 0.000 0.000 0.000 6.075 0.000 0.000 0.000 6.075" Properties=species:S:1:pos:R:3 pbc="T T T"
Pu 3.009 0.000 0.000
In 2.884 3.038 3.038
Ni 3.229 3.038 0.000
Ni 3.229 0.000 3.038
O 3.056 1.470 1.470
O 3.056 1.470 4.606
O 0.858 3.038 3.038
O 0.967 0.000 0.000
O 3.056 4.606 4.606
O 3.056 4.606 1.470
```

Properties
- E_tot (eV/atom) = -6.50
- space-group type = No. 99

***

No. 16
Below is a relaxed structure of PuIn2NiO6, with properties calculated at the PBE with a Hubbard U level.

Cell and atoms, written as extended XYZ:
```
10
Lattice="-1.563 4.522 -2.795 -3.951 -0.362 -3.870 -5.278 2.314 1.202" Properties=species:S:1:pos:R:3 pbc="T T T"
Pu -2.044 1.442 -2.017
In -5.159 3.173 -2.967
In -5.015 2.244 0.941
Ni -7.398 4.668 -4.790
O -3.167 3.344 -2.206
O -5.313 1.201 -3.781
O -5.270 4.509 -4.635
O -7.468 3.430 -3.056
O -5.501 4.933 -1.486
O -5.838 2.055 -1.045
```

Properties
- E_tot (eV/atom) = -7.00
- space-group type = No. 146

***

No. 17
Below is a relaxed structure of Rb2InNiO4, with properties calculated at the PBE with a Hubbard U level.

Cell and atoms, written as extended XYZ:
```
16
Lattice="-0.066 -0.869 5.712 3.535 -5.343 2.151 9.606 6.407 4.008" Properties=species:S:1:pos:R:3 pbc="T T T"
Rb 6.651 4.310 3.655
Rb 2.888 1.228 6.065
Rb 9.475 1.977 7.716
Rb 3.566 -2.217 7.010
In 6.521 -0.120 7.363
In 0.000 0.000 0.000
Ni 6.554 0.315 4.507
Ni -0.033 -0.434 2.856
O 1.275 0.158 1.657
O 11.830 0.424 7.664
O 8.763 4.695 7.965
O 4.283 -4.888 6.455
O 5.246 -0.278 5.706
O 7.832 0.519 5.858
O 7.364 1.592 3.407
O 5.774 -0.575 3.059
```

Properties
- E_tot (eV/atom) = -4.45
- space-group type = No. 70

***

No. 18
Below is a relaxed structure of InNi2RhO6, with properties calculated at the PBE with a Hubbard U level.

Cell and atoms, written as extended XYZ:
```
10
Lattice="-0.573 -3.963 -1.371 5.620 -0.406 -1.175 0.969 -1.980 5.317" Properties=species:S:1:pos:R:3 pbc="T T T"
In 2.932 -3.694 1.206
Ni 2.316 -3.618 -1.769
Ni -0.010 -4.405 1.477
Rh -0.378 -2.612 -0.904
O 1.134 -3.582 -0.056
O 1.641 -4.618 2.727
O 3.206 -1.804 1.860
O -0.136 -0.942 -0.326
O 4.583 -4.831 2.112
O 4.076 -3.795 -0.671
```

Properties
- E_tot (eV/atom) = -5.06
- space-group type = No. 99